Entry from Alexandria via LeMat-Bulk: a crystal of TcBF3 relaxed with PBEsol (SCAN).

Formation energy from raw total energies ... -0.20 eV per atom

a b c (Å): 3.8387 3.8387 3.8387
angles (deg): 90.00 90.00 90.00
Closest atoms and distances in Å follow each position.
Space group Pm-3m (No. 221)
Inequivalent atoms, fractional coordinates:
1 Tc 0.0000 0.0000 0.0000 (multiplicity 1)  12 F 2.71
2 B 0.5000 0.5000 0.5000 (multiplicity 1)  6 F 1.92
3 F 0.0000 0.5000 0.5000 (multiplicity 3)  2 B 1.92

***

Entry from Alexandria via LeMat-Bulk: a crystal of FeCu2Pt relaxed with PBEsol (SCAN).

ΔE_f ... -79 meV per atom

a b c (Å): 5.1242 7.2934 2.6802
angles (deg): 90.00 90.00 90.00
Closest atoms and distances in Å follow each position.
Space group Cmmm (No. 65)
Inequivalent atoms, fractional coordinates:
1 Fe 0.0000 0.0000 0.0000 (multiplicity 2)  2 Pt 2.56, 8 Cu 2.60, 2 Fe 2.68
2 Cu 0.2500 0.2500 0.5000 (multiplicity 4)  4 Cu 2.56-2.68, 4 Fe 2.60, 4 Pt 2.60
3 Pt 0.0000 0.5000 0.0000 (multiplicity 2)  2 Fe 2.56, 8 Cu 2.60, 2 Pt 2.68

***

| no. | DOS(E_F) (states/eV/cell) | ρ (g cm⁻³) | DFT total energy (eV/cell) |
| --- | --- | --- | --- |
| 1 | 2.49 | 4.87 | -54.1 |
| 2 | 4.50 | 12.53 | -238.1 |